Entry from Alexandria: a geometry-optimized Cs4Dy3ZrS8 structure (PBE-GGA).

a b c (Å): 8.067 9.314 8.071
angles (deg): 115.70 119.98 90.00
Fractional coordinates of all 16 atoms:
Cs  0.500  0.000  0.000
Cs  0.500  0.000  0.500
Cs  0.000  0.000  0.000
Cs  0.000  0.000  0.500
Dy  0.500  0.500  0.000
Dy  0.500  0.500  0.500
Dy  0.000  0.500  0.500
Zr  0.000  0.500  0.000
S  0.220  0.680  0.960
S  0.220  0.680  0.441
S  0.272  0.317  0.544
S  0.740  0.680  0.960
S  0.260  0.320  0.040
S  0.728  0.683  0.456
S  0.780  0.320  0.559
S  0.780  0.320  0.040

Properties
uncorrected formation energy = -39.50 kcal/mol of atoms
crystal system = trigonal
size of the total moment = 0.00 μB/cell
electronic total energy = -86.19 eV/cell